No. 1
A plane-wave DFT calculation with PBE was carried out for crystalline BaNbIn3 at its relaxed geometry.

Cell: 5.9303 5.9303 5.9303 Å, 90.00 90.00 90.00°
Positions (direct):
Ba 0.0000 0.0000 0.0000
Nb 0.5000 0.5000 0.5000
In 0.0000 0.0000 0.5000
In 0.0000 0.5000 0.0000
In 0.5000 0.0000 0.0000

Calculated values
crystal system: cubic
volume: 41.71 A^3/atom
space-group type: No. 221
energy of formation: 1.87 eV/atom
energy above the most stable polymorph in this dataset: 1927 meV per atom
DOS at the Fermi energy: 17.206 states/eV/f.u.

---

No. 2
A plane-wave DFT calculation with PBE was carried out for crystalline BaNbIn2 at its relaxed geometry.

Cell: 7.6901 7.6901 7.6901 Å, 90.00 90.00 90.00°
Positions (direct):
Ba 0.0000 0.0000 0.0000
Ba 0.0000 0.5000 0.5000
Ba 0.5000 0.0000 0.5000
Ba 0.5000 0.5000 0.0000
Nb 0.0000 0.0000 0.5000
Nb 0.0000 0.5000 0.0000
Nb 0.5000 0.0000 0.0000
Nb 0.5000 0.5000 0.5000
In 0.2500 0.2500 0.2500
In 0.2500 0.2500 0.7500
In 0.2500 0.7500 0.2500
In 0.2500 0.7500 0.7500
In 0.7500 0.2500 0.2500
In 0.7500 0.2500 0.7500
In 0.7500 0.7500 0.2500
In 0.7500 0.7500 0.7500

Calculated values
crystal system: cubic
volume: 28.42 A^3/atom
space-group type: No. 225
energy of formation: 0.34 eV/atom
DOS at the Fermi energy: 4.068 states/eV/f.u.

---

No. 3
A plane-wave DFT calculation with PBE was carried out for crystalline Ba3Nb2InO9 at its relaxed geometry.

Cell: 5.9317 5.9317 7.2617 Å, 90.00 90.00 120.00°
Positions (direct):
Ba 0.0000 0.0000 0.0000
Ba 0.3333 0.6667 0.6631
Ba 0.6667 0.3333 0.3369
Nb 0.3333 0.6667 0.1649
Nb 0.6667 0.3333 0.8351
In 0.0000 0.0000 0.5000
O 0.0000 0.5000 0.0000
O 0.1721 0.3442 0.3241
O 0.1721 0.8279 0.3241
O 0.3442 0.1721 0.6759
O 0.5000 0.0000 0.0000
O 0.5000 0.5000 0.0000
O 0.6558 0.8279 0.3241
O 0.8279 0.1721 0.6759
O 0.8279 0.6558 0.6759

Calculated values
crystal system: trigonal
volume: 14.75 A^3/atom
space-group type: No. 164
raw formation energy: -2.596 eV/atom
DOS at the Fermi energy: 4.387 states/eV/f.u.

---

What did the second record say?
A plane-wave DFT calculation with PBE was carried out for crystalline BaNbIn2 at its relaxed geometry.

Cell: 7.6901 7.6901 7.6901 Å, 90.00 90.00 90.00°
Positions (direct):
Ba 0.0000 0.0000 0.0000
Ba 0.0000 0.5000 0.5000
Ba 0.5000 0.0000 0.5000
Ba 0.5000 0.5000 0.0000
Nb 0.0000 0.0000 0.5000
Nb 0.0000 0.5000 0.0000
Nb 0.5000 0.0000 0.0000
Nb 0.5000 0.5000 0.5000
In 0.2500 0.2500 0.2500
In 0.2500 0.2500 0.7500
In 0.2500 0.7500 0.2500
In 0.2500 0.7500 0.7500
In 0.7500 0.2500 0.2500
In 0.7500 0.2500 0.7500
In 0.7500 0.7500 0.2500
In 0.7500 0.7500 0.7500

Calculated values
crystal system: cubic
volume: 28.42 A^3/atom
space-group type: No. 225
energy of formation: 0.34 eV/atom
DOS at the Fermi energy: 4.068 states/eV/f.u.

---

Among the records above, which one has the lowest DOS at the Fermi energy?
BaNbIn2